Density functional theory data (GGA-PBE) for a geometry-optimized AlBSb2 structure.

The calculation puts the raw total energy at -14.9 eV per formula unit. The calculation puts the total magnetic moment at 0.00 μB per cell. As for the density of states at the Fermi level: 12.74 states/eV/cell. Its energy above the most stable polymorph in this dataset is 750 meV/atom.

The structure belongs to space group Fm-3m (No. 225); the cell edges are 6.8316, 6.8316 and 6.8316 Å and the angles 90.00°, 90.00° and 90.00°. The inequivalent atoms are Al at (0.0000, 0.0000, 0.0000), B at (0.0000, 0.0000, 0.5000) and Sb at (0.2500, 0.2500, 0.2500).